Density functional theory data (PBE+U) for a relaxed Sr2TlNiO5 crystal.

Properties
Raw total energy (Ha/atom): -0.194
Space group: Cmc2_1, No. 36

```
18
Lattice="1.7299 -7.2612 0.0000 1.7299 7.2612 0.0000 0.0000 0.0000 10.5316" Properties=species:S:1:pos:R:3 pbc="T T T"
Sr 1.7299 5.6983 5.2658
Sr 1.7299 5.2865 1.4926
Sr 1.7299 -5.2865 6.7584
Sr 1.7299 -5.6983 0.0000
Tl 1.7299 4.2348 8.9087
Tl 1.7299 -4.2348 3.6429
Ni 1.7299 0.5769 2.7591
Ni 1.7299 -0.5769 8.0249
O 1.7299 6.7231 8.8457
O 1.7299 3.0904 5.1772
O 1.7299 2.4689 2.1446
O 1.7299 2.0123 8.6737
O 1.7299 0.1004 6.3412
O 1.7299 -0.1004 1.0754
O 1.7299 -2.0123 3.4079
O 1.7299 -2.4689 7.4104
O 1.7299 -3.0904 10.4430
O 1.7299 -6.7231 3.5799
```